Record 1
Compound: ZnTcPt2
Source: Alexandria via LeMat-Bulk
Functional: meta-GGA SCAN
Structure: PBEsol geometry

Unit cell a=5.410 b=7.775 c=2.702 alpha=90.00 beta=90.00 gamma=90.00
Fractional positions:
Zn 0.000 0.000 0.000
Zn 0.500 0.500 0.000
Tc 0.000 0.500 0.000
Tc 0.500 0.000 0.000
Pt 0.250 0.250 0.500
Pt 0.250 0.750 0.500
Pt 0.750 0.250 0.500
Pt 0.750 0.750 0.500

Values from the calculation:
The value obtained for the formation energy is -0.2958 eV/atom. Its space group is Cmmm, No. 65. As for the theoretical density: 16.17 g/cm3.

---

Record 2
Compound: ZnTcPt2
Source: Alexandria via LeMat-Bulk
Functional: meta-GGA SCAN
Structure: PBEsol geometry

Unit cell a=3.825 b=3.825 c=7.786 alpha=90.00 beta=90.00 gamma=90.00
Fractional positions:
Zn 0.000 0.000 0.000
Zn 0.500 0.500 0.500
Tc 0.000 0.000 0.500
Tc 0.500 0.500 0.000
Pt 0.000 0.500 0.250
Pt 0.000 0.500 0.750
Pt 0.500 0.000 0.250
Pt 0.500 0.000 0.750

Values from the calculation:
The value obtained for the formation energy is -0.2236 eV/atom. Its space group is I4/mmm, No. 139. As for the theoretical density: 16.14 g/cm3.

---

| no. | E_tot (eV per atom) |
| --- | --- |
| 1 | -47.54 |
| 2 | -47.46 |